Entry 1:
SmMgB, optimized geometry, DFT PBE-GGA; energy above the lowest structure with this stoichiometry = 0.0 meV/atom; electronic total energy = -0.3173 Ry/atom; calculated volume = 19.98 A^3/atom
1.0
-3.819 -1.875 1.095
-3.752 2.244 -0.429
-2.878 -1.110 -3.127
Sm Mg B
1 1 1
direct
0.750 0.750 0.750
0.250 0.250 0.250
0.000 0.000 0.000

***

Entry 2:
SmMgB4, optimized geometry, DFT PBE-GGA; energy above the lowest structure with this stoichiometry = 9.4 meV/atom; electronic total energy = -0.4196 Ry/atom; calculated volume = 11.57 A^3/atom
1.0
3.785 -2.245 -2.519
4.043 1.156 2.834
-4.358 -2.593 0.011
Mg B Sm
1 4 1
direct
0.000 0.000 0.000
0.082 0.753 0.328
0.918 0.247 0.672
0.575 0.247 0.328
0.425 0.753 0.672
0.500 0.500 0.000

***

Entry 3:
SmMgB, optimized geometry, DFT PBE-GGA; energy above the lowest structure with this stoichiometry = 796.3 meV/atom; electronic total energy = -0.2588 Ry/atom; calculated volume = 20.01 A^3/atom
1.0
3.746 -1.575 -1.675
0.420 -4.305 -0.779
0.105 -1.485 -4.135
Mg Sm B
1 1 1
direct
0.000 0.000 0.000
0.750 0.750 0.750
0.250 0.250 0.250